Record 1
Computed, not measured: Cs2TlTeSe after structural relaxation at the GGA-PBE level of DFT.

Summary:
Final energy   -2.955 eV per atom
SG   P2_1/m
Energy above the lowest structure with this stoichiometry   0.000 eV/atom
DOS at the Fermi energy   0.079 states/eV per atom
Total magnetization   0.000 μB per cell

Unit cell a=8.149 b=5.740 c=10.043 alpha=90.00 beta=101.29 gamma=90.00
Atoms (fractional coordinates):
Cs (0.118, 0.250, 0.363)
Cs (0.262, 0.250, 0.963)
Cs (0.738, 0.750, 0.037)
Cs (0.882, 0.750, 0.637)
Tl (0.478, 0.750, 0.342)
Tl (0.522, 0.250, 0.658)
Te (0.377, 0.750, 0.644)
Te (0.623, 0.250, 0.356)
Se (0.183, 0.750, 0.161)
Se (0.817, 0.250, 0.839)

***

Record 2
Computed, not measured: Cs2Tl2Te2Se after structural relaxation at the GGA-PBE level of DFT.

Summary:
Final energy   -2.984 eV per atom
SG   C2/m
DOS at the Fermi energy   0.284 states/eV per atom
Total magnetization   0.000 μB per cell

Unit cell a=8.623 b=8.623 c=9.559 alpha=123.29 beta=123.29 gamma=33.03
Atoms (fractional coordinates):
Cs (0.052, 0.052, 0.320)
Cs (0.948, 0.948, 0.680)
Tl (0.308, 0.308, 0.916)
Tl (0.692, 0.692, 0.084)
Te (0.330, 0.330, 0.271)
Te (0.670, 0.670, 0.729)
Se (0.500, 0.500, 0.000)

***

Record 3
Computed, not measured: CsTlTeSe2 after structural relaxation at the GGA-PBE level of DFT.

Summary:
Final energy   -3.199 eV per atom
SG   C2/m
DOS at the Fermi energy   0.017 states/eV per atom
Total magnetization   0.000 μB per cell

Unit cell a=7.912 b=7.912 c=11.766 alpha=124.76 beta=124.76 gamma=40.48
Atoms (fractional coordinates):
Cs (0.016, 0.016, 0.205)
Cs (0.984, 0.984, 0.795)
Tl (0.371, 0.371, 0.467)
Tl (0.629, 0.629, 0.533)
Te (0.280, 0.280, 0.884)
Te (0.720, 0.720, 0.116)
Se (0.264, 0.264, 0.641)
Se (0.283, 0.283, 0.145)
Se (0.717, 0.717, 0.855)
Se (0.736, 0.736, 0.359)

***

Record 4
Computed, not measured: CsTmTeSe after structural relaxation at the GGA-PBE level of DFT.

Summary:
Final energy   -4.493 eV per atom
SG   R3m
DOS at the Fermi energy   0.000 states/eV per atom
Total magnetization   0.000 μB per cell

Unit cell a=9.102 b=9.102 c=9.102 alpha=27.57 beta=27.57 gamma=27.57
Atoms (fractional coordinates):
Cs (0.000, 0.000, 0.000)
Tm (0.160, 0.160, 0.160)
Te (0.561, 0.561, 0.561)
Se (0.771, 0.771, 0.771)

***

Record 5
Computed, not measured: Cs2U2TeSe6 after structural relaxation at the GGA-PBE level of DFT.

Summary:
Final energy   -5.343 eV per atom
SG   C2/m
DOS at the Fermi energy   1.137 states/eV per atom
Total magnetization   2.018 μB per cell

Unit cell a=7.836 b=7.836 c=8.642 alpha=93.20 beta=93.20 gamma=129.31
Atoms (fractional coordinates):
Cs (0.133, 0.867, 0.000)
Cs (0.867, 0.133, 0.000)
U (0.342, 0.658, 0.500)
U (0.658, 0.342, 0.500)
Te (0.000, 0.000, 0.500)
Se (0.027, 0.480, 0.701)
Se (0.328, 0.328, 0.316)
Se (0.480, 0.027, 0.701)
Se (0.520, 0.973, 0.299)
Se (0.672, 0.672, 0.684)
Se (0.973, 0.520, 0.299)

***

Record 6
Computed, not measured: CsUTeSe3 after structural relaxation at the GGA-PBE level of DFT.

Summary:
Final energy   -4.923 eV per atom
SG   Cmcm
DOS at the Fermi energy   1.190 states/eV per atom
Total magnetization   5.466 μB per cell

Unit cell a=8.870 b=8.870 c=8.097 alpha=90.00 beta=90.00 gamma=128.13
Atoms (fractional coordinates):
Cs (0.243, 0.757, 0.750)
Cs (0.757, 0.243, 0.250)
U (0.055, 0.945, 0.250)
U (0.945, 0.055, 0.750)
Te (0.500, 0.500, 0.250)
Te (0.500, 0.500, 0.750)
Se (0.219, 0.781, 0.250)
Se (0.228, 0.228, 0.000)
Se (0.228, 0.228, 0.500)
Se (0.772, 0.772, 0.000)
Se (0.772, 0.772, 0.500)
Se (0.781, 0.219, 0.750)

***

Record 7
Computed, not measured: Cs3U3TeSe8 after structural relaxation at the GGA-PBE level of DFT.

Summary:
Final energy   -5.492 eV per atom
SG   C2/m
DOS at the Fermi energy   1.303 states/eV per atom
Total magnetization   6.637 μB per cell

Unit cell a=8.453 b=8.453 c=9.509 alpha=113.89 beta=113.89 gamma=63.37
Atoms (fractional coordinates):
Cs (0.000, 0.000, 0.000)
Cs (0.000, 0.500, 0.000)
Cs (0.500, 0.000, 0.000)
U (0.000, 0.500, 0.500)
U (0.500, 0.000, 0.500)
U (0.500, 0.500, 0.500)
Te (0.000, 0.000, 0.500)
Se (0.225, 0.225, 0.676)
Se (0.264, 0.672, 0.701)
Se (0.270, 0.270, 0.314)
Se (0.328, 0.736, 0.299)
Se (0.672, 0.264, 0.701)
Se (0.730, 0.730, 0.686)
Se (0.736, 0.328, 0.299)
Se (0.775, 0.775, 0.324)

***

Record 8
Computed, not measured: CsUTeSe after structural relaxation at the GGA-PBE level of DFT.

Summary:
Final energy   -5.695 eV per atom
SG   R3m
DOS at the Fermi energy   1.458 states/eV per atom
Total magnetization   3.001 μB per cell

Unit cell a=9.197 b=9.197 c=9.197 alpha=27.51 beta=27.51 gamma=27.51
Atoms (fractional coordinates):
Cs (0.000, 0.000, 0.000)
U (0.178, 0.178, 0.178)
Te (0.775, 0.775, 0.775)
Se (0.569, 0.569, 0.569)

***

Record 9
Computed, not measured: CsUTe3Se after structural relaxation at the GGA-PBE level of DFT.

Summary:
Final energy   -4.892 eV per atom
SG   P2_1/m
DOS at the Fermi energy   0.839 states/eV per atom
Total magnetization   2.011 μB per cell

Unit cell a=9.403 b=4.259 c=11.961 alpha=90.00 beta=107.73 gamma=90.00
Atoms (fractional coordinates):
Cs (0.228, 0.250, 0.311)
Cs (0.772, 0.750, 0.689)
U (0.321, 0.750, 0.832)
U (0.679, 0.250, 0.168)
Te (0.113, 0.250, 0.912)
Te (0.349, 0.750, 0.596)
Te (0.432, 0.750, 0.113)
Te (0.568, 0.250, 0.887)
Te (0.651, 0.250, 0.404)
Te (0.887, 0.750, 0.088)
Se (0.140, 0.250, 0.701)
Se (0.860, 0.750, 0.299)

***

Record 10
Computed, not measured: CsUTeSe6 after structural relaxation at the GGA-PBE level of DFT.

Summary:
Final energy   -4.528 eV per atom
SG   Imma
DOS at the Fermi energy   0.855 states/eV per atom
Total magnetization   0.000 μB per cell

Unit cell a=9.858 b=9.858 c=9.858 alpha=121.73 beta=117.60 gamma=90.62
Atoms (fractional coordinates):
Cs (0.375, 0.125, 0.250)
Cs (0.625, 0.875, 0.750)
U (0.000, 0.500, 0.500)
U (0.500, 0.500, 0.000)
Te (0.000, 0.000, 0.500)
Te (0.000, 0.500, 0.000)
Se (0.081, 0.413, 0.248)
Se (0.081, 0.833, 0.668)
Se (0.097, 0.847, 0.250)
Se (0.313, 0.563, 0.750)
Se (0.335, 0.167, 0.748)
Se (0.335, 0.587, 0.168)
Se (0.665, 0.413, 0.832)
Se (0.665, 0.833, 0.252)
Se (0.687, 0.437, 0.250)
Se (0.903, 0.153, 0.750)
Se (0.919, 0.167, 0.332)
Se (0.919, 0.587, 0.752)

***

Record 11
Computed, not measured: CsUTeSe4 after structural relaxation at the GGA-PBE level of DFT.

Summary:
Final energy   -4.948 eV per atom
SG   P2_1/m
DOS at the Fermi energy   0.676 states/eV per atom
Total magnetization   0.689 μB per cell

Unit cell a=8.726 b=5.866 c=8.948 alpha=90.00 beta=95.00 gamma=90.00
Atoms (fractional coordinates):
Cs (0.006, 0.250, 0.270)
Cs (0.994, 0.750, 0.730)
U (0.469, 0.250, 0.811)
U (0.531, 0.750, 0.189)
Te (0.460, 0.750, 0.684)
Te (0.540, 0.250, 0.316)
Se (0.224, 0.250, 0.629)
Se (0.297, 0.007, 0.026)
Se (0.297, 0.493, 0.026)
Se (0.323, 0.750, 0.414)
Se (0.677, 0.250, 0.586)
Se (0.703, 0.507, 0.974)
Se (0.703, 0.993, 0.974)
Se (0.776, 0.750, 0.371)

***

Record 12
Computed, not measured: Cs2UTeSe4 after structural relaxation at the GGA-PBE level of DFT.

Summary:
Final energy   -4.499 eV per atom
SG   I-4
DOS at the Fermi energy   1.186 states/eV per atom
Total magnetization   1.996 μB per cell

Unit cell a=7.527 b=7.527 c=7.527 alpha=110.32 beta=110.32 gamma=107.79
Atoms (fractional coordinates):
Cs (0.000, 0.000, 0.000)
Cs (0.750, 0.250, 0.500)
U (0.500, 0.500, 0.000)
Te (0.250, 0.750, 0.500)
Se (0.177, 0.112, 0.637)
Se (0.460, 0.823, 0.935)
Se (0.475, 0.540, 0.363)
Se (0.888, 0.525, 0.065)

***

Record 13
Computed, not measured: CsTe2WSe after structural relaxation at the GGA-PBE level of DFT.

Summary:
Final energy   -4.808 eV per atom
SG   P4/mmm
DOS at the Fermi energy   0.734 states/eV per atom
Total magnetization   0.000 μB per cell

Unit cell a=5.589 b=5.589 c=4.952 alpha=90.00 beta=90.00 gamma=90.00
Atoms (fractional coordinates):
Cs (0.000, 0.000, 0.000)
Te (0.000, 0.500, 0.500)
Te (0.500, 0.000, 0.500)
W (0.500, 0.500, 0.500)
Se (0.500, 0.500, 0.000)

***

Record 14
Computed, not measured: CsYTeSe after structural relaxation at the GGA-PBE level of DFT.

Summary:
Final energy   -5.026 eV per atom
SG   R3m
DOS at the Fermi energy   0.000 states/eV per atom
Total magnetization   0.000 μB per cell

Unit cell a=9.128 b=9.128 c=9.128 alpha=27.80 beta=27.80 gamma=27.80
Atoms (fractional coordinates):
Cs (0.000, 0.000, 0.000)
Y (0.160, 0.160, 0.160)
Te (0.562, 0.562, 0.562)
Se (0.770, 0.770, 0.770)

***

Record 15
Computed, not measured: CsZnTeSe3 after structural relaxation at the GGA-PBE level of DFT.

Summary:
Final energy   -3.178 eV per atom
SG   P2_1/m
DOS at the Fermi energy   0.131 states/eV per atom
Total magnetization   0.000 μB per cell

Unit cell a=10.113 b=4.071 c=10.480 alpha=90.00 beta=103.26 gamma=90.00
Atoms (fractional coordinates):
Cs (0.174, 0.250, 0.217)
Cs (0.826, 0.750, 0.783)
Zn (0.088, 0.250, 0.596)
Zn (0.912, 0.750, 0.404)
Te (0.356, 0.750, 0.844)
Te (0.644, 0.250, 0.156)
Se (0.154, 0.250, 0.842)
Se (0.168, 0.750, 0.497)
Se (0.461, 0.750, 0.153)
Se (0.539, 0.250, 0.847)
Se (0.832, 0.250, 0.503)
Se (0.846, 0.750, 0.158)

***

Record 16
Computed, not measured: CsZrTe2Se after structural relaxation at the GGA-PBE level of DFT.

Summary:
Final energy   -4.717 eV per atom
SG   P4/mmm
DOS at the Fermi energy   0.694 states/eV per atom
Total magnetization   0.000 μB per cell

Unit cell a=5.763 b=5.763 c=5.342 alpha=90.00 beta=90.00 gamma=90.00
Atoms (fractional coordinates):
Cs (0.000, 0.000, 0.000)
Zr (0.500, 0.500, 0.500)
Te (0.000, 0.500, 0.500)
Te (0.500, 0.000, 0.500)
Se (0.500, 0.500, 0.000)

***

Record 17
Computed, not measured: Cs2ZrTeSe4 after structural relaxation at the GGA-PBE level of DFT.

Summary:
Final energy   -4.216 eV per atom
SG   Fddd
DOS at the Fermi energy   0.215 states/eV per atom
Total magnetization   0.000 μB per cell

Unit cell a=16.172 b=14.231 c=8.696 alpha=86.16 beta=61.40 gamma=32.44
Atoms (fractional coordinates):
Cs (0.048, 0.048, 0.702)
Cs (0.298, 0.298, 0.952)
Cs (0.702, 0.702, 0.048)
Cs (0.952, 0.952, 0.298)
Zr (0.125, 0.125, 0.125)
Zr (0.875, 0.875, 0.875)
Te (0.375, 0.375, 0.375)
Te (0.625, 0.625, 0.625)
Se (0.072, 0.296, 0.386)
Se (0.254, 0.614, 0.704)
Se (0.296, 0.072, 0.746)
Se (0.386, 0.746, 0.072)
Se (0.614, 0.254, 0.928)
Se (0.704, 0.928, 0.254)
Se (0.746, 0.386, 0.296)
Se (0.928, 0.704, 0.614)

***

Record 18
Computed, not measured: CsThSe4 after structural relaxation at the GGA-PBE level of DFT.

Summary:
Final energy   -4.784 eV per atom
SG   C2/m
DOS at the Fermi energy   0.674 states/eV per atom
Total magnetization   0.000 μB per cell

Unit cell a=4.981 b=4.981 c=9.498 alpha=90.20 beta=90.20 gamma=66.75
Atoms (fractional coordinates):
Cs (0.000, 0.000, 0.000)
Th (0.500, 0.500, 0.500)
Se (0.137, 0.137, 0.411)
Se (0.366, 0.366, 0.222)
Se (0.634, 0.634, 0.778)
Se (0.863, 0.863, 0.589)

***

Record 19
Computed, not measured: CsThSe2 after structural relaxation at the GGA-PBE level of DFT.

Summary:
Final energy   -5.280 eV per atom
SG   P4/mmm
DOS at the Fermi energy   0.540 states/eV per atom
Total magnetization   0.003 μB per cell

Unit cell a=3.739 b=3.739 c=8.598 alpha=90.00 beta=90.00 gamma=90.00
Atoms (fractional coordinates):
Cs (0.000, 0.000, 0.000)
Th (0.000, 0.000, 0.500)
Se (0.500, 0.500, 0.305)
Se (0.500, 0.500, 0.695)

***

Record 20
Computed, not measured: Cs2Th2Se5 after structural relaxation at the GGA-PBE level of DFT.

Summary:
Final energy   -5.417 eV per atom
SG   Cmce
Total magnetization   0.000 μB per cell

Unit cell a=9.738 b=9.738 c=8.268 alpha=90.00 beta=90.00 gamma=50.18
Atoms (fractional coordinates):
Cs (0.205, 0.205, 0.000)
Cs (0.295, 0.295, 0.500)
Cs (0.705, 0.705, 0.500)
Cs (0.795, 0.795, 0.000)
Th (0.164, 0.836, 0.664)
Th (0.336, 0.664, 0.164)
Th (0.664, 0.336, 0.836)
Th (0.836, 0.164, 0.336)
Se (0.000, 0.000, 0.000)
Se (0.038, 0.753, 0.357)
Se (0.247, 0.962, 0.357)
Se (0.253, 0.538, 0.857)
Se (0.462, 0.747, 0.857)
Se (0.500, 0.500, 0.500)
Se (0.538, 0.253, 0.143)
Se (0.747, 0.462, 0.143)
Se (0.753, 0.038, 0.643)
Se (0.962, 0.247, 0.643)

***

Record 21
Computed, not measured: CsThSe2 after structural relaxation at the GGA-PBE level of DFT.

Summary:
Final energy   -5.309 eV per atom
SG   R3m
DOS at the Fermi energy   0.723 states/eV per atom
Total magnetization   0.000 μB per cell

Unit cell a=9.044 b=9.044 c=9.044 alpha=27.29 beta=27.29 gamma=27.29
Atoms (fractional coordinates):
Cs (0.000, 0.000, 0.000)
Th (0.829, 0.829, 0.829)
Se (0.228, 0.228, 0.228)
Se (0.430, 0.430, 0.430)

***

Record 22
Computed, not measured: Cs3ThSe3 after structural relaxation at the GGA-PBE level of DFT.

Summary:
Final energy   -4.180 eV per atom
SG   C2/m
DOS at the Fermi energy   0.192 states/eV per atom
Total magnetization   0.000 μB per cell

Unit cell a=9.087 b=9.087 c=8.944 alpha=94.93 beta=94.93 gamma=112.63
Atoms (fractional coordinates):
Cs (0.177, 0.823, 0.000)
Cs (0.261, 0.739, 0.500)
Cs (0.378, 0.378, 0.152)
Cs (0.622, 0.622, 0.848)
Cs (0.739, 0.261, 0.500)
Cs (0.823, 0.177, 0.000)
Th (0.197, 0.197, 0.635)
Th (0.803, 0.803, 0.365)
Se (0.079, 0.079, 0.315)
Se (0.153, 0.452, 0.785)
Se (0.452, 0.153, 0.785)
Se (0.548, 0.847, 0.215)
Se (0.847, 0.548, 0.215)
Se (0.921, 0.921, 0.685)